(1)
DFT (PBE-GGA) results for crystalline Nb4FeBiC2 at its relaxed geometry.

a b c (Å): 3.2083 3.2083 13.7572
angles (deg): 90.00 90.00 120.00
Site moments in Bohr magnetons follow the coordinates.
Positions (direct):
Bi (0.6667, 0.3333, 0.0000)  0.00
C (0.3333, 0.6667, 0.2686)  0.00
C (0.3333, 0.6667, 0.7314)  0.00
Fe (0.0000, 0.0000, 0.5000)  1.94
Nb (0.0000, 0.0000, 0.1817)  0.04
Nb (0.6667, 0.3333, 0.3584)  -0.14
Nb (0.6667, 0.3333, 0.6416)  -0.15
Nb (0.0000, 0.0000, 0.8183)  0.03

## Properties
For the total energy, the calculation gives -0.663 Ry per atom. As for the crystal system: hexagonal.

=====

(2)
DFT (PBE-GGA) results for crystalline Lu4GaBiC2 at its relaxed geometry.

a b c (Å): 3.5438 3.5438 15.1337
angles (deg): 90.00 90.00 120.00
Positions (direct):
Bi (0.0000, 0.0000, 0.0000)
C (0.3333, 0.6667, 0.2529)
C (0.3333, 0.6667, 0.7471)
Ga (0.6667, 0.3333, 0.5000)
Lu (0.6667, 0.3333, 0.1735)
Lu (0.0000, 0.0000, 0.3444)
Lu (0.0000, 0.0000, 0.6556)
Lu (0.6667, 0.3333, 0.8265)

## Properties
For the total energy, the calculation gives -0.441 Ry per atom. As for the crystal system: hexagonal.

=====

(3)
DFT (PBE-GGA) results for crystalline Nb4GaBiC2 at its relaxed geometry.

a b c (Å): 3.2750 3.2750 13.6351
angles (deg): 90.00 90.00 120.00
Positions (direct):
Bi (0.0000, 0.0000, 0.0000)
C (0.3333, 0.6667, 0.2594)
C (0.3333, 0.6667, 0.7406)
Ga (0.6667, 0.3333, 0.5000)
Nb (0.6667, 0.3333, 0.1755)
Nb (0.0000, 0.0000, 0.3449)
Nb (0.0000, 0.0000, 0.6551)
Nb (0.6667, 0.3333, 0.8245)

## Properties
For the total energy, the calculation gives -0.630 Ry per atom. As for the crystal system: hexagonal.